Density functional theory data (PBE) for a relaxed structure of TbY2Se3.

a = 7.074 Å, b = 7.074 Å, c = 7.074 Å
α = 146.25°, β = 131.88°, γ = 60.06°
Positions (direct):
Tb  0.000  0.000  0.000
Y  0.333  0.333  0.000
Y  0.667  0.667  0.000
Se  0.167  0.667  0.500
Se  0.500  0.000  0.500
Se  0.833  0.333  0.500

=====

Density functional theory data (PBE) for a relaxed structure of Tb2YSe.

a = 10.572 Å, b = 10.572 Å, c = 10.572 Å
α = 20.31°, β = 20.31°, γ = 20.31°
Positions (direct):
Tb  0.108  0.108  0.108
Tb  0.892  0.892  0.892
Y  0.000  0.000  0.000
Se  0.500  0.500  0.500

Computed properties:
energy relative to the lowest polymorph listed for this composition	0.264	eV/atom

=====

Density functional theory data (PBE) for a relaxed structure of TbY6Se8.

a = 8.143 Å, b = 8.143 Å, c = 8.143 Å
α = 60.00°, β = 60.00°, γ = 60.00°
Positions (direct):
Tb  0.000  0.000  0.000
Y  0.000  0.000  0.500
Y  0.000  0.500  0.000
Y  0.000  0.500  0.500
Y  0.500  0.000  0.000
Y  0.500  0.000  0.500
Y  0.500  0.500  0.000
Se  0.250  0.250  0.250
Se  0.254  0.254  0.746
Se  0.254  0.746  0.254
Se  0.254  0.746  0.746
Se  0.746  0.254  0.254
Se  0.746  0.254  0.746
Se  0.746  0.746  0.254
Se  0.750  0.750  0.750

Computed properties:
energy relative to the lowest polymorph listed for this composition	0.000	eV/atom

=====

Density functional theory data (PBE) for a relaxed structure of Tb10YbSe16.

a = 8.736 Å, b = 8.736 Å, c = 8.722 Å
α = 90.00°, β = 90.00°, γ = 90.00°
Positions (direct):
Tb  0.000  0.500  0.249
Tb  0.133  0.260  0.621
Tb  0.251  0.625  0.865
Tb  0.260  0.867  0.379
Tb  0.375  0.251  0.135
Tb  0.500  0.000  0.751
Tb  0.625  0.749  0.135
Tb  0.740  0.133  0.379
Tb  0.749  0.375  0.865
Tb  0.867  0.740  0.621
Yb  0.000  0.000  0.000
Se  0.070  0.179  0.306
Se  0.071  0.323  0.944
Se  0.175  0.578  0.547
Se  0.179  0.930  0.694
Se  0.316  0.573  0.184
Se  0.323  0.929  0.056
Se  0.422  0.175  0.453
Se  0.427  0.316  0.816
Se  0.573  0.684  0.816
Se  0.578  0.825  0.453
Se  0.677  0.071  0.056
Se  0.684  0.427  0.184
Se  0.821  0.070  0.694
Se  0.825  0.422  0.547
Se  0.929  0.677  0.944
Se  0.930  0.821  0.306

=====

Density functional theory data (PBE) for a relaxed structure of Tb4ZnSe2.

a = 6.880 Å, b = 6.880 Å, c = 13.957 Å
α = 90.00°, β = 90.00°, γ = 145.80°
Positions (direct):
Tb  0.000  0.000  0.000
Tb  0.000  0.000  0.500
Tb  0.277  0.723  0.625
Tb  0.277  0.723  0.875
Tb  0.447  0.553  0.250
Tb  0.553  0.447  0.750
Tb  0.723  0.277  0.125
Tb  0.723  0.277  0.375
Zn  0.112  0.888  0.250
Zn  0.888  0.112  0.750
Se  0.362  0.638  0.062
Se  0.362  0.638  0.438
Se  0.638  0.362  0.562
Se  0.638  0.362  0.938

=====

Density functional theory data (PBE) for a relaxed structure of TbZnSe2.

a = 8.653 Å, b = 8.653 Å, c = 8.653 Å
α = 25.69°, β = 25.69°, γ = 25.69°
Positions (direct):
Tb  0.000  0.000  0.000
Zn  0.500  0.500  0.500
Se  0.109  0.109  0.109
Se  0.891  0.891  0.891

=====

Density functional theory data (PBE) for a relaxed structure of Tb3ZnSe2.

a = 7.273 Å, b = 7.273 Å, c = 7.273 Å
α = 148.09°, β = 132.75°, γ = 58.15°
Positions (direct):
Tb  0.000  0.000  0.000
Tb  0.332  0.332  0.000
Tb  0.668  0.668  0.000
Zn  0.500  0.000  0.500
Se  0.167  0.667  0.500
Se  0.833  0.333  0.500

=====

Density functional theory data (PBE) for a relaxed structure of Tb7ZnSe5.

a = 6.989 Å, b = 6.989 Å, c = 24.446 Å
α = 90.08°, β = 90.08°, γ = 33.64°
Positions (direct):
Tb  0.032  0.032  0.250
Tb  0.138  0.138  0.537
Tb  0.138  0.138  0.963
Tb  0.307  0.307  0.321
Tb  0.308  0.308  0.179
Tb  0.412  0.412  0.887
Tb  0.413  0.413  0.612
Tb  0.587  0.587  0.388
Tb  0.588  0.588  0.113
Tb  0.692  0.692  0.821
Tb  0.693  0.693  0.679
Tb  0.862  0.862  0.037
Tb  0.862  0.862  0.463
Tb  0.968  0.968  0.750
Zn  0.304  0.304  0.751
Zn  0.696  0.696  0.249
Se  0.053  0.053  0.857
Se  0.054  0.054  0.643
Se  0.223  0.223  0.072
Se  0.223  0.223  0.428
Se  0.500  0.500  0.000
Se  0.500  0.500  0.500
Se  0.777  0.777  0.572
Se  0.777  0.777  0.928
Se  0.946  0.946  0.357
Se  0.947  0.947  0.143

=====

Density functional theory data (PBE) for a relaxed structure of TbZnSe.

a = 8.367 Å, b = 8.367 Å, c = 8.367 Å
α = 31.92°, β = 31.92°, γ = 31.92°
Positions (direct):
Tb  0.077  0.077  0.077
Tb  0.923  0.923  0.923
Zn  0.330  0.330  0.330
Zn  0.670  0.670  0.670
Se  0.215  0.215  0.215
Se  0.785  0.785  0.785

=====

Density functional theory data (PBE) for a relaxed structure of Tb5ZnSe4.

a = 7.124 Å, b = 7.124 Å, c = 7.124 Å
α = 99.57°, β = 99.57°, γ = 131.87°
Positions (direct):
Tb  0.000  0.000  0.000
Tb  0.204  0.599  0.803
Tb  0.401  0.204  0.605
Tb  0.599  0.796  0.395
Tb  0.796  0.401  0.197
Zn  0.500  0.500  0.000
Se  0.097  0.303  0.400
Se  0.303  0.903  0.205
Se  0.697  0.097  0.795
Se  0.903  0.697  0.600

=====

Density functional theory data (PBE) for a relaxed structure of Tb2ZnSe4.

a = 8.184 Å, b = 8.184 Å, c = 8.184 Å
α = 60.00°, β = 60.00°, γ = 60.00°
Positions (direct):
Tb  0.000  0.000  0.000
Tb  0.000  0.000  0.500
Tb  0.000  0.500  0.000
Tb  0.500  0.000  0.000
Zn  0.375  0.375  0.375
Zn  0.625  0.625  0.625
Se  0.246  0.751  0.751
Se  0.249  0.249  0.249
Se  0.249  0.249  0.754
Se  0.249  0.754  0.249
Se  0.751  0.246  0.751
Se  0.751  0.751  0.246
Se  0.751  0.751  0.751
Se  0.754  0.249  0.249

=====

Density functional theory data (PBE) for a relaxed structure of Tb3ZnSe6.

a = 9.058 Å, b = 9.058 Å, c = 6.626 Å
α = 90.00°, β = 90.00°, γ = 102.56°
Positions (direct):
Tb  0.111  0.889  0.500
Tb  0.220  0.426  0.583
Tb  0.426  0.220  0.083
Tb  0.574  0.780  0.583
Tb  0.780  0.574  0.083
Tb  0.889  0.111  0.000
Zn  0.300  0.700  0.132
Zn  0.700  0.300  0.632
Se  0.061  0.592  0.309
Se  0.139  0.183  0.292
Se  0.183  0.139  0.792
Se  0.277  0.723  0.768
Se  0.408  0.939  0.309
Se  0.464  0.536  0.277
Se  0.536  0.464  0.777
Se  0.592  0.061  0.809
Se  0.723  0.277  0.268
Se  0.817  0.861  0.292
Se  0.861  0.817  0.792
Se  0.939  0.408  0.809

=====

no.,formation energy (no corrections) (eV per atom),total magnetic moment (μB per cell)
1,-1.766,0.00
2,-0.556,0.62
3,-1.845,0.00
4,-1.867,0.23
5,-1.084,0.00
6,-0.433,0.00
7,-1.296,0.00
8,-1.415,0.00
9,-1.074,0.00
10,-1.512,0.00
11,-1.502,0.00
12,-1.469,0.00